4
Lattice="1.720 0.993 8.549 -1.720 0.993 8.549 0.000 -1.987 8.549" Properties=species:S:1:pos:R:3 comment="DyTaS2 PBE relaxed" formation_energy_uncorrected_ev_per_atom=-0.821 magnetic_moment_mub_per_fu=0.00 space_group="No. 166" energy_ev_per_atom=-7.00 pbc="T T T"
Dy 0.000 0.000 0.000
Ta 0.000 0.000 12.824
S 0.000 0.000 2.735
S 0.000 0.000 22.912


10
Lattice="3.558 0.000 0.000 1.778 6.778 0.000 1.769 1.156 8.186" Properties=species:S:1:pos:R:3 comment="DyTaS3 PBE relaxed" formation_energy_uncorrected_ev_per_atom=-1.460 magnetic_moment_mub_per_fu=0.00 space_group="No. 2" energy_ev_per_atom=-7.23 pbc="T T T"
Dy 0.887 1.698 0.725
Dy 6.218 6.236 7.460
Ta 2.664 3.297 5.071
Ta 4.441 4.637 3.115
S 2.661 5.686 4.458
S 2.659 1.239 6.616
S 2.662 3.915 1.354
S 4.442 4.019 6.831
S 4.445 6.695 1.570
S 4.443 2.248 3.727